Arrangement w

# PBE Hf4CuPd, optimized geometry
# Space-group type ... C2/m, No. 12
# Density of states at the Fermi level ... 0.867 states/eV/atom
data_Hf4CuPd
_cell_length_a 3.201
_cell_length_b 5.449
_cell_length_c 13.581
_cell_angle_alpha 89.30
_cell_angle_beta 90.00
_cell_angle_gamma 90.00
_symmetry_space_group_name_H-M 'P 1'
_symmetry_Int_Tables_number 1
_symmetry_space_group_name_Hall 'P 1'
loop_
_atom_site_label
_atom_site_type_symbol
_atom_site_fract_x
_atom_site_fract_y
_atom_site_fract_z
Hf1 Hf 0.000 0.331 0.160
Hf2 Hf 0.000 0.663 0.340
Hf3 Hf 0.500 0.163 0.840
Cu1 Cu 0.500 0.500 0.500
Pd1 Pd 0.000 0.000 0.500
Hf4 Hf 0.500 0.831 0.660
Hf5 Hf 0.000 0.337 0.660
Hf6 Hf 0.500 0.837 0.160
Pd2 Pd 0.500 0.500 0.000
Hf7 Hf 0.500 0.169 0.340
Hf8 Hf 0.000 0.669 0.840
Cu2 Cu 0.000 0.000 0.000


Arrangement x

# PBE Hf4CuPd, optimized geometry
# Space-group type ... P4/mmm, No. 123
# Density of states at the Fermi level ... 0.613 states/eV/atom
data_Hf4CuPd
_cell_length_a 3.201
_cell_length_b 3.201
_cell_length_c 11.266
_cell_angle_alpha 90.00
_cell_angle_beta 90.00
_cell_angle_gamma 90.00
_symmetry_space_group_name_H-M 'P 1'
_symmetry_Int_Tables_number 1
_symmetry_space_group_name_Hall 'P 1'
loop_
_atom_site_label
_atom_site_type_symbol
_atom_site_fract_x
_atom_site_fract_y
_atom_site_fract_z
Hf1 Hf 0.500 0.500 0.154
Hf2 Hf 0.000 0.000 0.338
Hf3 Hf 0.000 0.000 0.662
Pd1 Pd 0.500 0.500 0.500
Hf4 Hf 0.500 0.500 0.846
Cu1 Cu 0.000 0.000 0.000


Stability, lowest: arrangement w